No. 1
This record from Alexandria describes crystalline HfMo2N at its relaxed geometry. The functional is PBE.

Values from the calculation:
ρ, g cm⁻³: 10.69
N(E_F), states/eV/atom: 0.8988
Space-group type: No. 122
DFT total energy, eV/atom: -10.18
Calculated volume, Å³/cell: 119.4

Cell: 7.1852 7.1852 5.5827 Å, 49.94 49.94 90.00°
Element x y z (fractional)
Mo1 0.5094 0.1250 0.2500
Mo2 0.2406 0.6250 0.2500
Mo3 0.3750 0.4906 0.7500
Mo4 0.8750 0.7594 0.7500
Hf1 0.0000 0.0000 0.0000
Hf2 0.7500 0.2500 0.5000
N1 0.5000 0.5000 0.0000
N2 0.2500 0.7500 0.5000

No. 2
This record from Alexandria describes crystalline Hf3MoN at its relaxed geometry. The functional is PBE.

Values from the calculation:
ρ, g cm⁻³: 12.72
N(E_F), states/eV/atom: 0.9695
Space-group type: No. 11
DFT total energy, eV/atom: -10.50
Calculated volume, Å³/cell: 168.5
Excess energy over the best structure of this formula in the dataset, meV/atom: 0

Cell: 3.3037 6.2063 8.5227 Å, 90.00 90.00 74.62°
Element x y z (fractional)
Hf1 0.6306 0.7372 0.7068
Hf2 0.3694 0.2628 0.2068
Hf3 0.6306 0.7372 0.2932
Hf4 0.3694 0.2628 0.7932
Hf5 0.0433 0.9143 0.0000
Hf6 0.9567 0.0857 0.5000
Mo1 0.7361 0.5305 0.0000
Mo2 0.2639 0.4695 0.5000
N1 0.0000 0.0000 0.7500
N2 0.0000 0.0000 0.2500

No. 3
This record from Alexandria describes crystalline HfMoN2 at its relaxed geometry. The functional is PBE.

Values from the calculation:
ρ, g cm⁻³: 9.19
N(E_F), states/eV/atom: 0.5915
Space-group type: No. 122
DFT total energy, eV/atom: -10.09
Calculated volume, Å³/cell: 109.3

Cell: 4.7006 4.7006 5.9599 Å, 66.77 66.77 90.00°
Last column: magnetic moment on the atom in μB.
Element x y z (fractional)
Mo1 0.5000 0.5000 0.0000  0.29
Mo2 0.2500 0.7500 0.5000  0.28
Hf1 0.0000 0.0000 0.0000  0.01
Hf2 0.7500 0.2500 0.5000  0.00
N1 0.6088 0.1250 0.2500  0.00
N2 0.1412 0.6250 0.2500  0.00
N3 0.3750 0.3912 0.7500  0.00
N4 0.8750 0.8588 0.7500  0.00

No. 4
This record from Alexandria describes crystalline Hf4MoN at its relaxed geometry. The functional is PBE.

Values from the calculation:
ρ, g cm⁻³: 12.62
N(E_F), states/eV/atom: 0.7757
Space-group type: No. 15
DFT total energy, eV/atom: -10.34
Calculated volume, Å³/cell: 216.8

Cell: 5.5675 6.0877 7.2454 Å, 105.67 112.59 90.00°
Element x y z (fractional)
Hf1 0.2779 0.1399 0.3899
Hf2 0.1121 0.6399 0.3899
Hf3 0.6957 0.9529 0.1922
Hf4 0.4965 0.4529 0.1922
Hf5 0.3043 0.0471 0.8078
Hf6 0.5035 0.5471 0.8078
Hf7 0.7221 0.8601 0.6101
Hf8 0.8879 0.3601 0.6101
Mo1 0.1459 0.7500 0.0000
Mo2 0.8541 0.2500 0.0000
N1 0.5000 0.5000 0.5000
N2 0.0000 0.0000 0.5000

No. 5
This record from Alexandria describes crystalline Hf6MoN at its relaxed geometry. The functional is PBE.

Values from the calculation:
ρ, g cm⁻³: 12.45
N(E_F), states/eV/atom: 0.9132
Space-group type: No. 12
DFT total energy, eV/atom: -10.16
Calculated volume, Å³/cell: 157.4

Cell: 5.5199 5.5199 5.5227 Å, 96.53 96.53 107.55°
Element x y z (fractional)
Hf1 0.2163 0.2163 0.6543
Hf2 0.5538 0.1985 0.2222
Hf3 0.7837 0.7837 0.3457
Hf4 0.8015 0.4462 0.7778
Hf5 0.4462 0.8015 0.7778
Hf6 0.1985 0.5538 0.2222
Mo1 0.0000 0.0000 0.0000
N1 0.5000 0.5000 0.5000

No. 6
This record from Alexandria describes crystalline HfMoN2 at its relaxed geometry. The functional is PBE.

Values from the calculation:
ρ, g cm⁻³: 12.08
N(E_F), states/eV/atom: 0.0000
Space-group type: No. 225
DFT total energy, eV/atom: -9.86
Calculated volume, Å³/cell: 41.6

Cell: 3.8880 3.8880 3.8880 Å, 60.00 60.00 60.00°
Element x y z (fractional)
Mo1 0.0000 0.0000 0.0000
Hf1 0.5000 0.5000 0.5000
N1 0.2500 0.2500 0.2500
N2 0.7500 0.7500 0.7500

No. 7
This record from Alexandria describes crystalline Hf2MoN at its relaxed geometry. The functional is PBE.

Values from the calculation:
ρ, g cm⁻³: 11.85
N(E_F), states/eV/atom: 0.6045
Space-group type: No. 166
DFT total energy, eV/atom: -10.18
Calculated volume, Å³/cell: 65.5

Cell: 3.0784 3.0784 8.1716 Å, 79.14 79.14 60.00°
Element x y z (fractional)
Mo1 0.0000 0.0000 0.0000
Hf1 0.1114 0.1114 0.6658
Hf2 0.8886 0.8886 0.3342
N1 0.5000 0.5000 0.5000

No. 8
This record from Alexandria describes crystalline Na3Hf2MoN6 at its relaxed geometry. The functional is PBE.

Values from the calculation:
ρ, g cm⁻³: 6.69
N(E_F), states/eV/atom: 0.6296
Space-group type: No. 12
DFT total energy, eV/atom: -7.79
Calculated volume, Å³/cell: 150.4

Cell: 5.5254 5.5254 5.9806 Å, 98.85 98.85 120.01°
Element x y z (fractional)
Na1 0.1654 0.8346 0.5000
Na2 0.8346 0.1654 0.5000
Na3 0.5000 0.5000 0.5000
Hf1 0.3333 0.6667 0.0000
Hf2 0.6667 0.3333 0.0000
Mo1 0.0000 0.0000 0.0000
N1 0.9353 0.6167 0.8056
N2 0.7462 0.7462 0.1938
N3 0.0647 0.3833 0.1944
N4 0.6167 0.9353 0.8056
N5 0.2538 0.2538 0.8062
N6 0.3833 0.0647 0.1944

No. 9
This record from Alexandria describes crystalline Hf2Np3MoN6 at its relaxed geometry. The functional is PBE.

Values from the calculation:
ρ, g cm⁻³: 13.60
N(E_F), states/eV/atom: 1.4341
Space-group type: No. 12
DFT total energy, eV/atom: -11.21
Calculated volume, Å³/cell: 152.4

Cell: 5.6703 5.6703 5.7810 Å, 99.37 99.37 119.91°
Last column: magnetic moment on the atom in μB.
Element x y z (fractional)
Hf1 0.3325 0.6676 0.0000  0.05
Hf2 0.6676 0.3325 0.0000  0.05
Np1 0.1625 0.8375 0.5000  3.27
Np2 0.8375 0.1625 0.5000  3.27
Np3 0.5000 0.5000 0.5000  3.26
Mo1 0.0000 0.0000 0.0000  -0.25
N1 0.9241 0.5857 0.7728  -0.06
N2 0.7357 0.7357 0.2232  -0.06
N3 0.0759 0.4143 0.2272  -0.06
N4 0.5857 0.9241 0.7728  -0.06
N5 0.2643 0.2643 0.7768  -0.06
N6 0.4143 0.0759 0.2272  -0.06